# 1
# Os3Br

A PBEsol-optimized structure of Os3Br (meta-GGA SCAN, the Alexandria database).

Results
E_tot ... -57.274 eV per atom
Total moment ... 0.00 μB per formula unit
Formation energy without anion corrections ... 1.501 eV per atom
Calculated density ... 18.25 g cm⁻³

Cell lengths 5.2894, 5.2894, 5.2894 Å; angles 149.00, 128.39, 61.43 degrees
Last column: nearest neighbours and their distance in Å.
Element x y z (fractional)
Os  0.0000  0.0000  0.0000  4 Br 2.70, 6 Os 2.75-2.83
Os  0.2598  0.7598  0.5000  2 Br 2.60, 8 Os 2.71-2.83
Os  0.7402  0.2402  0.5000  2 Br 2.60, 8 Os 2.71-2.83
Br  0.5000  0.5000  0.0000  8 Os 2.60-2.70, 2 Br 2.83


# 2
# OsBr

A PBEsol-optimized structure of OsBr (meta-GGA SCAN, the Alexandria database).

Results
E_tot ... -43.555 eV per atom
Total moment ... 0.16 μB per formula unit
Formation energy without anion corrections ... 2.115 eV per atom
Calculated density ... 14.09 g cm⁻³

Cell lengths 3.1691, 3.1691, 3.1691 Å; angles 90.00, 90.00, 90.00 degrees
Last column: nearest neighbours and their distance in Å.
Element x y z (fractional)
Os  0.0000  0.0000  0.0000  8 Br 2.74
Br  0.5000  0.5000  0.5000  8 Os 2.74


# 3
# OsBr3

A PBEsol-optimized structure of OsBr3 (meta-GGA SCAN, the Alexandria database).

Results
E_tot ... -32.373 eV per atom
Total moment ... 0.75 μB per formula unit
Formation energy without anion corrections ... 0.191 eV per atom
Calculated density ... 5.85 g cm⁻³

Cell lengths 8.1696, 8.1696, 3.7037 Å; angles 90.00, 90.00, 99.14 degrees
Last column: nearest neighbours and their distance in Å.
Element x y z (fractional)
Os  0.0556  0.9444  0.7500  2 Os 2.31, 2 Br 2.33
Os  0.9444  0.0556  0.2500  2 Os 2.31, 2 Br 2.33
Br  0.0704  0.3326  0.2500  1 Os 2.33
Br  0.3326  0.0704  0.7500  1 Os 2.33
Br  0.4055  0.5945  0.7500  2 Br 2.99
Br  0.5945  0.4055  0.2500  2 Br 2.99
Br  0.6674  0.9296  0.2500  1 Os 2.33
Br  0.9296  0.6674  0.7500  1 Os 2.33


Q: Which value of calculated density does entry 2 give?
A: 14.09 g cm⁻³


Q: Which value of E_tot does entry 1 give?
A: -57.274 eV per atom


Q: Which of these has the lowest formation energy without anion corrections?
A: OsBr3


Q: Which value of formation energy without anion corrections does entry 1 give?
A: 1.501 eV per atom